# 1
DFT (PBE) results for a relaxed NaPrEr crystal.

a b c (Å): 7.5756 7.5756 7.5756
angles (deg): 90.00 90.00 90.00
Sites, in units of the cell vectors:
Na (0.0000, 0.0000, 0.0000)
Na (0.0000, 0.5000, 0.5000)
Na (0.5000, 0.0000, 0.5000)
Na (0.5000, 0.5000, 0.0000)
Pr (0.2500, 0.2500, 0.2500)
Pr (0.2500, 0.7500, 0.7500)
Pr (0.7500, 0.2500, 0.7500)
Pr (0.7500, 0.7500, 0.2500)
Er (0.2500, 0.2500, 0.7500)
Er (0.2500, 0.7500, 0.2500)
Er (0.7500, 0.2500, 0.2500)
Er (0.7500, 0.7500, 0.7500)

## Properties
V   434.8 Å³/cell
Distance to the lowest polymorph of the same formula   0 meV/atom

# 2
DFT (PBE) results for a relaxed K3Fe crystal.

a b c (Å): 8.1545 8.1545 6.3243
angles (deg): 90.00 90.00 120.00
Sites, in units of the cell vectors:
K (0.1788, 0.3577, 0.2500)
K (0.1788, 0.8212, 0.2500)
K (0.3577, 0.1788, 0.7500)
K (0.6423, 0.8212, 0.2500)
K (0.8212, 0.1788, 0.7500)
K (0.8212, 0.6423, 0.7500)
Fe (0.3333, 0.6667, 0.7500)
Fe (0.6667, 0.3333, 0.2500)

## Properties
V   364.2 Å³/cell
Distance to the lowest polymorph of the same formula   29 meV/atom

# 3
DFT (PBE) results for a relaxed RbErNb crystal.

a b c (Å): 7.8600 7.8600 7.8600
angles (deg): 90.00 90.00 90.00
Sites, in units of the cell vectors:
Rb (0.0000, 0.0000, 0.0000)
Rb (0.0000, 0.5000, 0.5000)
Rb (0.5000, 0.0000, 0.5000)
Rb (0.5000, 0.5000, 0.0000)
Er (0.0000, 0.0000, 0.5000)
Er (0.0000, 0.5000, 0.0000)
Er (0.5000, 0.0000, 0.0000)
Er (0.5000, 0.5000, 0.5000)
Nb (0.2500, 0.2500, 0.7500)
Nb (0.2500, 0.7500, 0.2500)
Nb (0.7500, 0.2500, 0.2500)
Nb (0.7500, 0.7500, 0.7500)

## Properties
V   485.6 Å³/cell
Distance to the lowest polymorph of the same formula   0 meV/atom

# 4
DFT (PBE) results for a relaxed NdPuRe crystal.

a b c (Å): 6.5073 6.5073 6.5073
angles (deg): 90.00 90.00 90.00
Sites, in units of the cell vectors:
Nd (0.0000, 0.0000, 0.0000)
Nd (0.0000, 0.5000, 0.5000)
Nd (0.5000, 0.0000, 0.5000)
Nd (0.5000, 0.5000, 0.0000)
Pu (0.2500, 0.2500, 0.7500)
Pu (0.2500, 0.7500, 0.2500)
Pu (0.7500, 0.2500, 0.2500)
Pu (0.7500, 0.7500, 0.7500)
Re (0.2500, 0.2500, 0.2500)
Re (0.2500, 0.7500, 0.7500)
Re (0.7500, 0.2500, 0.7500)
Re (0.7500, 0.7500, 0.2500)

## Properties
V   275.6 Å³/cell
Energy of formation   1189 meV per atom

# 5
DFT (PBE) results for a relaxed La2USe5 crystal.

a b c (Å): 12.5519 8.5631 7.9180
angles (deg): 90.00 90.00 90.00
Sites, in units of the cell vectors:
La (0.1766, 0.0003, 0.0306)
La (0.1766, 0.4997, 0.0306)
La (0.3234, 0.9997, 0.5306)
La (0.3234, 0.5003, 0.5306)
La (0.6766, 0.0003, 0.4694)
La (0.6766, 0.4997, 0.4694)
La (0.8234, 0.9997, 0.9694)
La (0.8234, 0.5003, 0.9694)
U (0.0079, 0.2500, 0.5692)
U (0.4921, 0.7500, 0.0692)
U (0.5079, 0.2500, 0.9308)
U (0.9921, 0.7500, 0.4308)
Se (0.0012, 0.2500, 0.9536)
Se (0.0923, 0.5420, 0.6657)
Se (0.0923, 0.9580, 0.6657)
Se (0.1872, 0.2500, 0.3355)
Se (0.2142, 0.7500, 0.3098)
Se (0.2858, 0.2500, 0.8098)
Se (0.3128, 0.7500, 0.8355)
Se (0.4077, 0.0420, 0.1657)
Se (0.4077, 0.4580, 0.1657)
Se (0.4988, 0.7500, 0.4536)
Se (0.5012, 0.2500, 0.5464)
Se (0.5923, 0.5420, 0.8343)
Se (0.5923, 0.9580, 0.8343)
Se (0.6872, 0.2500, 0.1645)
Se (0.7142, 0.7500, 0.1902)
Se (0.7858, 0.2500, 0.6902)
Se (0.8128, 0.7500, 0.6645)
Se (0.9077, 0.0420, 0.3343)
Se (0.9077, 0.4580, 0.3343)
Se (0.9988, 0.7500, 0.0464)

## Properties
V   851.1 Å³/cell
Total DFT energy (no corrections)   -6.56 eV/atom

# 6
DFT (PBE) results for a relaxed Lu2Ge3Mo4N3 crystal.

a b c (Å): 5.5462 5.5462 13.2706
angles (deg): 102.26 102.26 60.41
Sites, in units of the cell vectors:
Lu (0.0361, 0.8666, 0.6082)
Lu (0.1334, 0.9639, 0.8918)
Lu (0.8666, 0.0361, 0.1082)
Lu (0.9639, 0.1334, 0.3918)
Ge (0.0850, 0.3276, 0.7488)
Ge (0.3276, 0.0850, 0.2488)
Ge (0.4978, 0.5022, 0.2500)
Ge (0.5022, 0.4978, 0.7500)
Ge (0.6724, 0.9150, 0.7512)
Ge (0.9150, 0.6724, 0.2512)
Mo (0.1936, 0.3766, 0.0808)
Mo (0.3177, 0.4561, 0.4203)
Mo (0.3766, 0.1936, 0.5808)
Mo (0.4561, 0.3177, 0.9203)
Mo (0.5439, 0.6823, 0.0797)
Mo (0.6234, 0.8064, 0.4192)
Mo (0.6823, 0.5439, 0.5797)
Mo (0.8064, 0.6234, 0.9192)
N (0.0000, 0.5000, 0.5000)
N (0.1576, 0.6860, 0.0000)
N (0.3140, 0.8424, 0.5000)
N (0.5000, 0.0000, 0.0000)
N (0.6860, 0.1576, 0.5000)
N (0.8424, 0.3140, 0.0000)

## Properties
V   344.1 Å³/cell
Total DFT energy (no corrections)   -8.16 eV/atom

# 7
DFT (PBE) results for a relaxed BeFe2As crystal.

a b c (Å): 5.5230 5.5230 5.5230
angles (deg): 90.00 90.00 90.00
Sites, in units of the cell vectors:
Be (0.0000, 0.0000, 0.0000)
Be (0.0000, 0.0000, 0.5000)
Be (0.0000, 0.5000, 0.0000)
Be (0.5000, 0.0000, 0.0000)
Fe (0.2464, 0.2464, 0.2464)
Fe (0.2464, 0.2464, 0.7536)
Fe (0.2464, 0.7536, 0.2464)
Fe (0.2464, 0.7536, 0.7536)
Fe (0.7536, 0.2464, 0.2464)
Fe (0.7536, 0.2464, 0.7536)
Fe (0.7536, 0.7536, 0.2464)
Fe (0.7536, 0.7536, 0.7536)
As (0.0000, 0.5000, 0.5000)
As (0.5000, 0.0000, 0.5000)
As (0.5000, 0.5000, 0.0000)
As (0.5000, 0.5000, 0.5000)

## Properties
V   168.5 Å³/cell
Distance to the lowest polymorph of the same formula   0 meV/atom

# 8
DFT (PBE) results for a relaxed SrCuSi crystal.

a b c (Å): 5.0876 5.0876 6.1356
angles (deg): 90.00 90.00 120.00
Sites, in units of the cell vectors:
Sr (0.3333, 0.6667, 0.2500)
Sr (0.6667, 0.3333, 0.7500)
Cu (0.0000, 0.0000, 0.0000)
Cu (0.0000, 0.0000, 0.5000)
Si (0.3333, 0.6667, 0.7500)
Si (0.6667, 0.3333, 0.2500)

## Properties
V   137.5 Å³/cell
Total DFT energy (no corrections)   -3.30 eV/atom

- Which of these has the lowest V?
  SrCuSi

Copy entry 5 word for word.
DFT (PBE) results for a relaxed La2USe5 crystal.

a b c (Å): 12.5519 8.5631 7.9180
angles (deg): 90.00 90.00 90.00
Sites, in units of the cell vectors:
La (0.1766, 0.0003, 0.0306)
La (0.1766, 0.4997, 0.0306)
La (0.3234, 0.9997, 0.5306)
La (0.3234, 0.5003, 0.5306)
La (0.6766, 0.0003, 0.4694)
La (0.6766, 0.4997, 0.4694)
La (0.8234, 0.9997, 0.9694)
La (0.8234, 0.5003, 0.9694)
U (0.0079, 0.2500, 0.5692)
U (0.4921, 0.7500, 0.0692)
U (0.5079, 0.2500, 0.9308)
U (0.9921, 0.7500, 0.4308)
Se (0.0012, 0.2500, 0.9536)
Se (0.0923, 0.5420, 0.6657)
Se (0.0923, 0.9580, 0.6657)
Se (0.1872, 0.2500, 0.3355)
Se (0.2142, 0.7500, 0.3098)
Se (0.2858, 0.2500, 0.8098)
Se (0.3128, 0.7500, 0.8355)
Se (0.4077, 0.0420, 0.1657)
Se (0.4077, 0.4580, 0.1657)
Se (0.4988, 0.7500, 0.4536)
Se (0.5012, 0.2500, 0.5464)
Se (0.5923, 0.5420, 0.8343)
Se (0.5923, 0.9580, 0.8343)
Se (0.6872, 0.2500, 0.1645)
Se (0.7142, 0.7500, 0.1902)
Se (0.7858, 0.2500, 0.6902)
Se (0.8128, 0.7500, 0.6645)
Se (0.9077, 0.0420, 0.3343)
Se (0.9077, 0.4580, 0.3343)
Se (0.9988, 0.7500, 0.0464)

## Properties
V   851.1 Å³/cell
Total DFT energy (no corrections)   -6.56 eV/atom